(1)
Density functional theory data (PBE) for a geometry-optimized AlRe2As structure.

Properties
E_tot   -7.9326 eV/atom
Total magnetic moment   0.00 μB/atom
DFT formation energy   0.389 eV/atom

Lattice parameters (Å, degrees): 2.899 2.899 8.238 90.00 90.00 117.19
Sites, in units of the cell vectors:
Al1 0.500 0.500 0.250
As1 0.500 0.500 0.750
Re1 0.000 0.000 0.509
Re2 0.000 0.000 0.991


(2)
Density functional theory data (PBE) for a geometry-optimized Al3ReAs structure.

Properties
E_tot   -4.3233 eV/atom
Total magnetic moment   0.36 μB/atom
DFT formation energy   1.342 eV/atom

Lattice parameters (Å, degrees): 4.664 4.664 4.664 90.00 90.00 90.00
Each line ends with the local moment (μB).
Sites, in units of the cell vectors:
Re1 0.500 0.500 0.500  1.79
Al1 0.000 0.500 0.000  -0.03
Al2 0.000 0.000 0.500  -0.02
Al3 0.500 0.000 0.000  -0.04
As1 0.000 0.000 0.000  -0.01


(3)
Density functional theory data (PBE) for a geometry-optimized AlRe2As structure.

Properties
E_tot   -7.9613 eV/atom
Total magnetic moment   0.00 μB/atom
DFT formation energy   0.361 eV/atom

Lattice parameters (Å, degrees): 3.070 4.813 4.117 90.00 90.00 90.00
Sites, in units of the cell vectors:
As1 0.000 0.500 0.500
Re1 0.000 0.000 0.000
Re2 0.500 0.500 0.000
Al1 0.500 0.000 0.500


(4)
Density functional theory data (PBE) for a geometry-optimized AlRe2As structure.

Properties
E_tot   -8.2779 eV/atom
Total magnetic moment   0.00 μB/atom
DFT formation energy   0.044 eV/atom

Lattice parameters (Å, degrees): 4.709 4.709 4.541 72.99 72.99 38.17
Sites, in units of the cell vectors:
Re1 0.002 0.002 0.041
Re2 0.749 0.749 0.693
Al1 0.496 0.496 0.537
As1 0.253 0.253 0.229


(5)
Density functional theory data (PBE) for a geometry-optimized AlRe2As structure.

Properties
E_tot   -8.1252 eV/atom
Total magnetic moment   0.00 μB/atom
DFT formation energy   0.197 eV/atom

Lattice parameters (Å, degrees): 4.344 4.344 4.344 60.00 60.00 60.00
Sites, in units of the cell vectors:
Al1 0.000 0.000 0.000
As1 0.500 0.500 0.500
Re1 0.250 0.250 0.250
Re2 0.750 0.750 0.750


(6)
Density functional theory data (PBE) for a geometry-optimized AlRe2As structure.

Properties
E_tot   -8.1387 eV/atom
Total magnetic moment   0.00 μB/atom
DFT formation energy   0.183 eV/atom

Lattice parameters (Å, degrees): 2.924 4.917 5.222 52.73 90.00 90.00
Sites, in units of the cell vectors:
Al1 0.500 0.500 0.500
As1 0.000 0.000 0.500
Re1 0.500 0.500 0.000
Re2 0.000 0.000 0.000


(7)
Density functional theory data (PBE) for a geometry-optimized AlRe2As structure.

Properties
E_tot   -7.9675 eV/atom
Total magnetic moment   0.00 μB/atom
DFT formation energy   0.355 eV/atom

Lattice parameters (Å, degrees): 5.019 5.019 2.898 74.81 74.81 110.06
Sites, in units of the cell vectors:
As1 0.000 0.500 0.500
Re1 0.500 0.500 0.000
Re2 0.000 0.000 0.000
Al1 0.500 0.000 0.500


(8)
Density functional theory data (PBE) for a geometry-optimized AlRe2As structure.

Properties
E_tot   -8.1640 eV/atom
Total magnetic moment   0.00 μB/atom
DFT formation energy   0.158 eV/atom

Lattice parameters (Å, degrees): 3.051 3.051 6.245 90.00 90.00 90.00
Sites, in units of the cell vectors:
As1 0.500 0.500 0.750
Re1 0.000 0.000 0.509
Re2 0.000 0.000 0.991
Al1 0.500 0.500 0.250


(9)
Density functional theory data (PBE) for a geometry-optimized AlRe2As structure.

Properties
E_tot   -8.0512 eV/atom
Total magnetic moment   0.00 μB/atom
DFT formation energy   0.271 eV/atom

Lattice parameters (Å, degrees): 3.898 2.916 5.622 72.58 90.00 90.00
Sites, in units of the cell vectors:
Re1 0.000 0.876 0.987
Re2 0.000 0.624 0.513
Al1 0.500 0.250 0.250
As1 0.500 0.750 0.750


(10)
Density functional theory data (PBE) for a geometry-optimized AlRe2As structure.

Properties
E_tot   -7.9844 eV/atom
Total magnetic moment   0.00 μB/atom
DFT formation energy   0.338 eV/atom

Lattice parameters (Å, degrees): 2.795 2.795 8.791 90.00 90.00 113.25
Sites, in units of the cell vectors:
As1 0.500 0.500 0.757
Re1 0.000 0.000 0.007
Re2 0.500 0.500 0.248
Al1 0.000 0.000 0.489


(11)
Density functional theory data (PBE) for a geometry-optimized AlRe2As structure.

Properties
E_tot   -8.1038 eV/atom
Total magnetic moment   0.00 μB/atom
DFT formation energy   0.218 eV/atom

Lattice parameters (Å, degrees): 8.452 8.452 8.452 19.73 19.73 19.73
Sites, in units of the cell vectors:
Re1 0.004 0.004 0.004
Re2 0.496 0.496 0.496
As1 0.750 0.750 0.750
Al1 0.250 0.250 0.250


(12)
Density functional theory data (PBE) for a geometry-optimized AlReAsSe2 structure.

Properties
E_tot   -4.4300 eV/atom
Total magnetic moment   0.61 μB/atom
Raw formation energy   1132 meV/atom

Lattice parameters (Å, degrees): 4.793 4.793 4.815 90.00 90.00 90.00
Each line ends with the local moment (μB).
Sites, in units of the cell vectors:
Al1 0.000 0.000 0.000  0.01
Se1 0.500 0.000 0.000  -0.14
Se2 0.000 0.500 0.000  -0.14
As1 0.000 0.000 0.500  -0.25
Re1 0.500 0.500 0.500  3.25


(13)
Density functional theory data (PBE) for a geometry-optimized AlReAsSe2 structure.

Properties
E_tot   -4.9943 eV/atom
Total magnetic moment   0.00 μB/atom
Raw formation energy   568 meV/atom

Lattice parameters (Å, degrees): 4.989 4.989 4.783 90.00 90.00 90.00
Sites, in units of the cell vectors:
As1 0.000 0.000 0.500
Se1 0.500 0.000 0.000
Se2 0.000 0.500 0.000
Re1 0.000 0.000 0.000
Al1 0.500 0.500 0.500


(14)
Density functional theory data (PBE) for a geometry-optimized AlReAs2Se structure.

Properties
E_tot   -5.2012 eV/atom
Total magnetic moment   0.00 μB/atom
Raw formation energy   594 meV/atom

Lattice parameters (Å, degrees): 4.691 4.691 5.569 90.00 90.00 90.00
Sites, in units of the cell vectors:
Re1 0.000 0.000 0.000
Al1 0.500 0.500 0.500
As1 0.500 0.000 0.000
As2 0.000 0.500 0.000
Se1 0.000 0.000 0.500